# 1
A plane-wave DFT calculation with PBE was carried out for an optimized crystal structure of AcMn3Ge3.

Structure (CIF):
```
data_AcMn3Ge3
_cell_length_a 6.798
_cell_length_b 6.798
_cell_length_c 6.798
_cell_angle_alpha 90.00
_cell_angle_beta 90.00
_cell_angle_gamma 90.00
_symmetry_space_group_name_H-M 'P m -3 n'
_symmetry_Int_Tables_number 223
_symmetry_space_group_name_Hall '-P 4n 2 3'
loop_
_atom_site_label
_atom_site_fract_x
_atom_site_fract_y
_atom_site_fract_z
_atom_site_occupancy
Ac1 0.000 0.000 0.000 1
Mn1 0.000 0.250 0.500 1
Ge1 0.000 0.500 0.250 1
```

## Properties
E in eV per cell: -89.7
Magnetic moment in μB/cell: 20.391
Crystal system: cubic

---

# 2
A plane-wave DFT calculation with PBE was carried out for an optimized crystal structure of MnRu2.

Structure (CIF):
```
data_MnRu2
_cell_length_a 2.676
_cell_length_b 2.676
_cell_length_c 22.492
_cell_angle_alpha 90.00
_cell_angle_beta 90.00
_cell_angle_gamma 90.00
_symmetry_space_group_name_H-M 'I 41/a m d'
_symmetry_Int_Tables_number 141
loop_
_symmetry_equiv_pos_as_xyz
'x,y,z'
'-x,-y,-z'
'-y+1/4,x+3/4,z+1/4'
'y+1/4,-x+3/4,-z+1/4'
'-x+1/2,-y,z+1/2'
'x+1/2,y,-z+1/2'
'y+1/4,-x+1/4,z+3/4'
'-y+1/4,x+1/4,-z+3/4'
'x,-y,-z'
'-x,y,z'
'-y+1/4,-x+1/4,-z+3/4'
'y+1/4,x+1/4,z+3/4'
'-x+1/2,y,-z+1/2'
'x+1/2,-y,z+1/2'
'y+1/4,x+3/4,-z+1/4'
'-y+1/4,-x+3/4,z+1/4'
'x+1/2,y+1/2,z+1/2'
'-x+1/2,-y+1/2,-z+1/2'
'-y+3/4,x+1/4,z+3/4'
'y+3/4,-x+1/4,-z+3/4'
'-x,-y+1/2,z'
'x,y+1/2,-z'
'y+3/4,-x+3/4,z+1/4'
'-y+3/4,x+3/4,-z+1/4'
'x+1/2,-y+1/2,-z+1/2'
'-x+1/2,y+1/2,z+1/2'
'-y+3/4,-x+3/4,-z+1/4'
'y+3/4,x+3/4,z+1/4'
'-x,y+1/2,-z'
'x,-y+1/2,z'
'y+3/4,x+1/4,-z+3/4'
'-y+3/4,-x+1/4,z+3/4'
loop_
_atom_site_label
_atom_site_fract_x
_atom_site_fract_y
_atom_site_fract_z
_atom_site_occupancy
Mn1 0.000 0.250 0.375 1
Ru1 0.000 0.250 0.800 1
```

## Properties
E in eV per cell: -107.6
Magnetic moment in μB/cell: 0.006
Crystal system: tetragonal

---

# 3
A plane-wave DFT calculation with PBE was carried out for an optimized crystal structure of SmMnBe2Pt5.

Structure (CIF):
```
data_SmMnBe2Pt5
_cell_length_a 4.067
_cell_length_b 4.067
_cell_length_c 9.412
_cell_angle_alpha 90.00
_cell_angle_beta 90.00
_cell_angle_gamma 90.00
_symmetry_space_group_name_H-M 'P 4/m m m'
_symmetry_Int_Tables_number 123
_symmetry_space_group_name_Hall '-P 4 2'
loop_
_atom_site_label
_atom_site_fract_x
_atom_site_fract_y
_atom_site_fract_z
_atom_site_occupancy
Sm1 0.000 0.000 0.000 1
Mn1 0.000 0.000 0.500 1
Be1 0.500 0.500 0.231 1
Pt1 0.000 0.500 0.325 1
Pt2 0.500 0.500 0.000 1
```

## Properties
E in eV per cell: -56.0
Magnetic moment in μB/cell: 4.532
Crystal system: tetragonal

---

# 4
A plane-wave DFT calculation with PBE was carried out for an optimized crystal structure of InAgSn.

Structure (CIF):
```
data_InAgSn
_cell_length_a 6.807
_cell_length_b 3.141
_cell_length_c 6.908
_cell_angle_alpha 90.00
_cell_angle_beta 104.96
_cell_angle_gamma 90.00
_symmetry_space_group_name_H-M 'P 1 2/m 1'
_symmetry_Int_Tables_number 10
loop_
_symmetry_equiv_pos_as_xyz
'x,y,z'
'-x,-y,-z'
'-x,y,-z'
'x,-y,z'
loop_
_atom_site_label
_atom_site_fract_x
_atom_site_fract_y
_atom_site_fract_z
_atom_site_occupancy
In1 0.190 0.000 0.417 1
Ag1 0.500 0.500 0.272 1
Sn1 0.218 0.000 0.925 1
```

## Properties
E in eV per cell: -19.0
Magnetic moment in μB/cell: 0.000
Crystal system: monoclinic

---

# 5
A plane-wave DFT calculation with PBE was carried out for an optimized crystal structure of MnRe2.

Structure (CIF):
```
data_MnRe2
_cell_length_a 2.583
_cell_length_b 4.089
_cell_length_c 17.972
_cell_angle_alpha 90.00
_cell_angle_beta 90.00
_cell_angle_gamma 90.00
_symmetry_space_group_name_H-M 'I m m a'
_symmetry_Int_Tables_number 74
_symmetry_space_group_name_Hall '-I 2b 2'
loop_
_atom_site_label
_atom_site_fract_x
_atom_site_fract_y
_atom_site_fract_z
_atom_site_occupancy
Mn1 0.000 0.250 0.119 1
Re1 0.000 0.250 0.539 1
Re2 0.000 0.250 0.684 1
```

## Properties
E in eV per cell: -129.3
Magnetic moment in μB/cell: 8.519
Crystal system: orthorhombic

---

# 6
A plane-wave DFT calculation with PBE was carried out for an optimized crystal structure of Cs2AgBiI6.

Structure (CIF):
```
data_Cs2AgBiI6
_cell_length_a 12.244
_cell_length_b 12.244
_cell_length_c 12.244
_cell_angle_alpha 90.00
_cell_angle_beta 90.00
_cell_angle_gamma 90.00
_symmetry_space_group_name_H-M 'F m -3 m'
_symmetry_Int_Tables_number 225
_symmetry_space_group_name_Hall '-F 4 2 3'
loop_
_atom_site_label
_atom_site_fract_x
_atom_site_fract_y
_atom_site_fract_z
_atom_site_occupancy
Cs1 0.250 0.250 0.250 1
Ag1 0.000 0.000 0.000 1
Bi1 0.000 0.000 0.500 1
I1 0.000 0.000 0.247 1
```

## Properties
ΔE to the lowest computed polymorph in meV/atom: 5
Magnetic moment in μB/cell: 0.000
Crystal system: cubic

---

# 7
A plane-wave DFT calculation with PBE was carried out for an optimized crystal structure of MnHgAsW2.

Structure (CIF):
```
data_MnHgAsW2
_cell_length_a 4.639
_cell_length_b 4.639
_cell_length_c 4.318
_cell_angle_alpha 90.00
_cell_angle_beta 90.00
_cell_angle_gamma 90.00
_symmetry_space_group_name_H-M 'P 4/m m m'
_symmetry_Int_Tables_number 123
_symmetry_space_group_name_Hall '-P 4 2'
loop_
_atom_site_label
_atom_site_fract_x
_atom_site_fract_y
_atom_site_fract_z
_atom_site_occupancy
Mn1 0.000 0.000 0.000 1
Hg1 0.500 0.500 0.500 1
As1 0.000 0.000 0.500 1
W1 0.000 0.500 0.000 1
```

## Properties
E in eV per cell: -33.8
Magnetic moment in μB/cell: 0.000
Crystal system: tetragonal

---

# 8
A plane-wave DFT calculation with PBE was carried out for an optimized crystal structure of Li2ScGaCl6.

Structure (CIF):
```
data_Li2ScGaCl6
_cell_length_a 6.6593
_cell_length_b 6.6593
_cell_length_c 18.4771
_cell_angle_alpha 90.00
_cell_angle_beta 90.00
_cell_angle_gamma 120.00
_symmetry_space_group_name_H-M 'R 3'
_symmetry_Int_Tables_number 146
_symmetry_space_group_name_Hall 'R 3'
loop_
_atom_site_label
_atom_site_fract_x
_atom_site_fract_y
_atom_site_fract_z
_atom_site_occupancy
Li1 0.0000 0.0000 0.0000 1
Li2 0.0000 0.0000 0.4866 1
Sc1 0.0000 0.0000 0.8040 1
Ga1 0.0000 0.0000 0.2873 1
Cl1 0.0033 0.3249 0.7342 1
Cl2 0.0698 0.7187 0.5569 1
```

## Properties
E in eV per cell: -123.4
Magnetic moment in μB/cell: 0.000
Crystal system: trigonal

---

# 9
A plane-wave DFT calculation with PBE was carried out for an optimized crystal structure of BaSr2CdRh.

Structure (CIF):
```
data_BaSr2CdRh
_cell_length_a 5.833
_cell_length_b 5.833
_cell_length_c 5.980
_cell_angle_alpha 90.00
_cell_angle_beta 90.00
_cell_angle_gamma 90.00
_symmetry_space_group_name_H-M 'P 4/m m m'
_symmetry_Int_Tables_number 123
_symmetry_space_group_name_Hall '-P 4 2'
loop_
_atom_site_label
_atom_site_fract_x
_atom_site_fract_y
_atom_site_fract_z
_atom_site_occupancy
Ba1 0.000 0.000 0.000 1
Sr1 0.000 0.500 0.500 1
Cd1 0.500 0.500 0.000 1
Rh1 0.000 0.000 0.500 1
```

## Properties
ΔE to the lowest computed polymorph in meV/atom: 0
Magnetic moment in μB/cell: 0.000
Crystal system: tetragonal

---

# 10
A plane-wave DFT calculation with PBE was carried out for an optimized crystal structure of AcGd2Rh.

Structure (CIF):
```
data_AcGd2Rh
_cell_length_a 3.8652
_cell_length_b 3.8652
_cell_length_c 32.0289
_cell_angle_alpha 90.00
_cell_angle_beta 90.00
_cell_angle_gamma 120.00
_symmetry_space_group_name_H-M 'R -3 m'
_symmetry_Int_Tables_number 166
_symmetry_space_group_name_Hall '-R 3 2"'
loop_
_atom_site_label
_atom_site_fract_x
_atom_site_fract_y
_atom_site_fract_z
_atom_site_occupancy
Ac1 0.0000 0.0000 0.0000 1
Gd1 0.0000 0.0000 0.1159 1
Rh1 0.0000 0.0000 0.5000 1
```

## Properties
ΔE to the lowest computed polymorph in meV/atom: 129
Magnetic moment in μB/cell: 44.040
Crystal system: trigonal

---

# 11
A plane-wave DFT calculation with PBE was carried out for an optimized crystal structure of TaTi3Tc.

Structure (CIF):
```
data_TaTi3Tc
_cell_length_a 4.614
_cell_length_b 4.614
_cell_length_c 4.614
_cell_angle_alpha 90.00
_cell_angle_beta 90.00
_cell_angle_gamma 90.00
_symmetry_space_group_name_H-M 'P m -3 m'
_symmetry_Int_Tables_number 221
_symmetry_space_group_name_Hall '-P 4 2 3'
loop_
_atom_site_label
_atom_site_fract_x
_atom_site_fract_y
_atom_site_fract_z
_atom_site_occupancy
Ta1 0.000 0.000 0.000 1
Ti1 0.000 0.500 0.500 1
Tc1 0.500 0.500 0.500 1
```

## Properties
ΔE to the lowest computed polymorph in meV/atom: 939
Magnetic moment in μB/cell: 0.000
Crystal system: cubic

---

# 12
A plane-wave DFT calculation with PBE was carried out for an optimized crystal structure of Li2SnCCl.

Structure (CIF):
```
data_Li2SnCCl
_cell_length_a 4.566
_cell_length_b 4.566
_cell_length_c 4.355
_cell_angle_alpha 90.00
_cell_angle_beta 90.00
_cell_angle_gamma 90.00
_symmetry_space_group_name_H-M 'P 4/m m m'
_symmetry_Int_Tables_number 123
_symmetry_space_group_name_Hall '-P 4 2'
loop_
_atom_site_label
_atom_site_fract_x
_atom_site_fract_y
_atom_site_fract_z
_atom_site_occupancy
Li1 0.000 0.500 0.000 1
Sn1 0.000 0.000 0.500 1
C1 0.000 0.000 0.000 1
Cl1 0.500 0.500 0.500 1
```

## Properties
ΔE to the lowest computed polymorph in meV/atom: 0
Magnetic moment in μB/cell: 0.000
Crystal system: tetragonal